Density functional theory data (GGA-PBE) for a relaxed structure of TeSe5.

a b c (Å): 10.5796 10.5796 3.9145
angles (deg): 90.00 90.00 156.62
With the nearest neighbours (Å) after each atom.
Element x y z (fractional)
Te 0.0995 0.9005 0.5000  2 Se 2.63
Se 0.0150 0.9850 0.0000  2 Te 2.63
Se 0.3505 0.6495 0.0000  2 Se 2.44
Se 0.6874 0.3126 0.0000  2 Se 2.46
Se 0.4212 0.5788 0.5000  2 Se 2.44
Se 0.7597 0.2403 0.5000  2 Se 2.46

E above lowest polymorph, meV per atom: 2
Size of the total moment, μB per formula unit: 0.0
ΔE_f (raw), meV/atom: 163



Density functional theory data (GGA-PBE) for a relaxed structure of La2CuTe.

a b c (Å): 5.3187 5.3187 5.3187
angles (deg): 60.00 60.00 60.00
With the nearest neighbours (Å) after each atom.
Element x y z (fractional)
Cu 0.5000 0.5000 0.5000  4 Te 3.26, 4 La 3.26
La 0.0000 0.0000 0.0000  4 La 3.26, 4 Te 3.26
La 0.2500 0.2500 0.2500  4 La 3.26, 4 Cu 3.26
Te 0.7500 0.7500 0.7500  4 Cu 3.26, 4 La 3.26

Size of the total moment, μB per formula unit: 0.0
ΔE_f (raw), meV/atom: -115



Density functional theory data (GGA-PBE) for a relaxed structure of La5PrZn.

a b c (Å): 5.2398 5.2398 8.9379
angles (deg): 90.00 90.00 90.00
With the nearest neighbours (Å) after each atom.
Element x y z (fractional)
La 0.5000 0.0000 0.7045  2 Zn 3.19
La 0.0000 0.5000 0.7045  2 Zn 3.19
La 0.5000 0.5000 0.0000  4 Pr 3.71, 8 La 3.72
La 0.0000 0.5000 0.2955  2 Zn 3.19
La 0.5000 0.0000 0.2955  2 Zn 3.19
Pr 0.0000 0.0000 0.0000  12 La 3.71-3.72
Zn 0.0000 0.0000 0.5000  8 La 3.19

Size of the total moment, μB per formula unit: 0.0
DFT formation energy, meV per atom: 8



Density functional theory data (GGA-PBE) for a relaxed structure of Er3Mn2B9.

a b c (Å): 3.1200 7.7190 7.7190
angles (deg): 57.83 78.34 78.34
With the nearest neighbours (Å) after each atom.
Element x y z (fractional)
Er 0.0000 0.0000 0.0000  12 B 2.57-2.70
Er 0.7339 0.2661 0.2661  12 B 2.72-2.79
Er 0.2661 0.7339 0.7339  12 B 2.72-2.79
Mn 0.5000 0.3302 0.6698  4 B 2.01-2.03
Mn 0.5000 0.6698 0.3302  4 B 2.01-2.03
B 0.0000 0.5000 0.5000  4 Mn 2.01
B 0.6304 0.0541 0.6851  2 B 1.70
B 0.3696 0.9459 0.3149  2 B 1.70
B 0.6304 0.6851 0.0541  2 B 1.70
B 0.3696 0.3149 0.9459  2 B 1.70
B 0.8802 0.8482 0.3915  2 B 1.70
B 0.1198 0.1518 0.6085  2 B 1.70
B 0.8802 0.3915 0.8482  2 B 1.70
B 0.1198 0.6085 0.1518  2 B 1.70

Size of the total moment, μB per formula unit: 0.0
DFT formation energy, meV per atom: -304



Density functional theory data (GGA-PBE) for a relaxed structure of Li2LaPO.

a b c (Å): 4.2163 4.2163 4.8411
angles (deg): 90.00 90.00 90.00
With the nearest neighbours (Å) after each atom.
Element x y z (fractional)
P 0.5000 0.5000 0.5000  4 La 2.98, 8 Li 3.21
Li 0.0000 0.5000 0.0000  2 O 2.11
Li 0.5000 0.0000 0.0000  2 O 2.11
O 0.0000 0.0000 0.0000  4 Li 2.11
La 0.0000 0.0000 0.5000  2 O 2.42

Size of the total moment, μB per formula unit: 0.0
ΔE_f (raw), meV/atom: -1652



Density functional theory data (GGA-PBE) for a relaxed structure of Rb2CaCo.

a b c (Å): 12.8842 12.8842 9.5044
angles (deg): 47.33 47.33 90.00
With the nearest neighbours (Å) after each atom.
Element x y z (fractional)
Ca 0.5000 0.5000 0.0000  2 Co 2.71
Ca 0.2500 0.7500 0.5000  2 Co 2.71
Co 0.0000 0.0000 0.0000  2 Ca 2.71
Co 0.7500 0.2500 0.5000  2 Ca 2.71
Rb 0.7729 0.1250 0.2500  2 Co 3.54
Rb 0.9771 0.6250 0.2500  2 Co 3.54
Rb 0.3750 0.2271 0.7500  2 Co 3.54
Rb 0.8750 0.0229 0.7500  2 Co 3.54

E above lowest polymorph, meV per atom: 0
Size of the total moment, μB per formula unit: 1.0
DFT formation energy, meV per atom: 756



Density functional theory data (GGA-PBE) for a relaxed structure of Ba2EuZn.

a b c (Å): 4.4506 6.1745 6.1745
angles (deg): 90.00 90.00 90.00
With the nearest neighbours (Å) after each atom.
Element x y z (fractional)
Eu 0.5000 0.0000 0.0000  8 Ba 3.81
Zn 0.5000 0.5000 0.5000  8 Ba 3.81
Ba 0.0000 0.0000 0.5000  4 Zn 3.81, 4 Eu 3.81
Ba 0.0000 0.5000 0.0000  4 Eu 3.81, 4 Zn 3.81

E above lowest polymorph, meV per atom: 131
Size of the total moment, μB per formula unit: 7.6
DFT formation energy, meV per atom: 72



Density functional theory data (GGA-PBE) for a relaxed structure of K2Er2RuO6.

a b c (Å): 5.7037 5.7037 6.5723
angles (deg): 97.70 97.70 119.55
With the nearest neighbours (Å) after each atom.
Element x y z (fractional)
K 0.8387 0.1613 0.0000  6 O 2.72-2.96
K 0.1613 0.8387 0.0000  6 O 2.72-2.96
Er 0.3355 0.6645 0.5000  6 O 2.25-2.27
Er 0.6645 0.3355 0.5000  6 O 2.25-2.27
Ru 0.0000 0.0000 0.5000  6 O 2.08-2.09
O 0.7468 0.7468 0.6749  1 Ru 2.08, 2 Er 2.26
O 0.0490 0.3628 0.6719  1 Ru 2.09, 2 Er 2.25-2.27
O 0.2532 0.2532 0.3251  1 Ru 2.08, 2 Er 2.26
O 0.3628 0.0490 0.6719  1 Ru 2.09, 2 Er 2.25-2.27
O 0.9510 0.6372 0.3281  1 Ru 2.09, 2 Er 2.25-2.27
O 0.6372 0.9510 0.3281  1 Ru 2.09, 2 Er 2.25-2.27

Size of the total moment, μB per formula unit: 2.0
ΔE_f (raw), meV/atom: -2261



Density functional theory data (GGA-PBE) for a relaxed structure of YCd2Si.

a b c (Å): 3.8422 3.8422 6.1800
angles (deg): 90.00 90.00 90.01
With the nearest neighbours (Å) after each atom.
Element x y z (fractional)
Cd 0.0000 0.0000 0.0202  1 Cd 2.84, 4 Si 3.07
Cd 0.0000 0.0000 0.4798  1 Cd 2.84, 4 Si 3.07
Si 0.5000 0.5000 0.2500  8 Cd 3.07, 2 Y 3.09
Y 0.5000 0.5000 0.7500  2 Si 3.09, 8 Cd 3.19

Size of the total moment, μB per formula unit: 0.0
ΔE_f (raw), meV/atom: -15



Density functional theory data (GGA-PBE) for a relaxed structure of ZrTiNbAg.

a b c (Å): 2.9483 2.9483 9.5793
angles (deg): 98.85 98.85 90.00
With the nearest neighbours (Å) after each atom.
Element x y z (fractional)
Zr 0.5551 0.5551 0.1103  4 Zr 2.95, 4 Ti 2.98, 4 Ag 3.14
Ti 0.9412 0.9412 0.8824  4 Nb 2.88, 4 Ti 2.95, 4 Zr 2.98
Nb 0.3351 0.3351 0.6703  4 Ti 2.88, 1 Ag 2.89, 4 Nb 2.95
Ag 0.1806 0.1806 0.3612  1 Nb 2.89, 4 Ag 2.95, 4 Zr 3.14

E above lowest polymorph, meV per atom: 145
Size of the total moment, μB per formula unit: 0.0
DFT formation energy, meV per atom: 240



Density functional theory data (GGA-PBE) for a relaxed structure of TaMnAs2Br.

a b c (Å): 5.0157 5.0157 5.1919
angles (deg): 90.00 90.00 90.00
With the nearest neighbours (Å) after each atom.
Element x y z (fractional)
As 0.0000 0.5000 0.0000  2 Ta 2.51
As 0.5000 0.0000 0.0000  2 Ta 2.51
Mn 0.5000 0.5000 0.5000  4 Br 3.55, 8 As 3.61
Br 0.0000 0.0000 0.5000  2 Ta 2.60
Ta 0.0000 0.0000 0.0000  4 As 2.51, 2 Br 2.60

E above lowest polymorph, meV per atom: 0
Size of the total moment, μB per formula unit: 5.3
ΔE_f (raw), meV/atom: 470



| no. | V (Å³/atom) |
| --- | --- |
| 1 | 28.976 |
| 2 | 26.598 |
| 3 | 35.057 |
| 4 | 10.936 |
| 5 | 17.213 |
| 6 | 56.191 |
| 7 | 42.419 |
| 8 | 16.299 |
| 9 | 22.809 |
| 10 | 20.318 |
| 11 | 26.123 |